VASP calculation (GGA-PBE) on a relaxed CaCSe2N crystal.

Geometry as extended XYZ:
```
5
Lattice="5.6695 0.0000 0.0000 0.0000 5.6695 0.0000 0.0000 0.0000 4.5645" Properties=species:S:1:pos:R:3 pbc="T T T"
Ca 0.0000 0.0000 0.0000
C 2.8347 2.8347 2.2823
Se 0.0000 2.8347 0.0000
Se 2.8347 0.0000 0.0000
N 0.0000 0.0000 2.2823
```

Properties
Total magnetic moment, μB per atom: 0.60
Energy above the most stable polymorph in this dataset, meV per atom: 1753.1
ΔE_f (raw), eV/f.u.: 10.22

---

VASP calculation (GGA-PBE) on a relaxed CaCSeN2 crystal.

Geometry as extended XYZ:
```
5
Lattice="3.9367 0.0000 0.0000 0.0000 3.9367 0.0000 0.0000 0.0000 4.1950" Properties=species:S:1:pos:R:3 pbc="T T T"
Ca 0.0000 0.0000 0.0000
C 1.9683 1.9683 2.0975
Se 1.9683 1.9683 0.0000
N 0.0000 1.9683 2.0975
N 1.9683 0.0000 2.0975
```

Properties
Total magnetic moment, μB per atom: 0.31
ΔE_f (raw), eV/f.u.: 7.78

---

VASP calculation (GGA-PBE) on a relaxed CaSnCN2 crystal.

Geometry as extended XYZ:
```
5
Lattice="4.1115 0.0000 0.0000 0.0000 4.1115 0.0000 0.0000 0.0000 4.2069" Properties=species:S:1:pos:R:3 pbc="T T T"
Ca 0.0000 0.0000 0.0000
Sn 2.0557 2.0557 0.0000
C 0.0000 0.0000 2.1034
N 0.0000 2.0557 2.1034
N 2.0557 0.0000 2.1034
```

Properties
Total magnetic moment, μB per atom: 0.00
ΔE_f (raw), eV/f.u.: 9.72

---

VASP calculation (GGA-PBE) on a relaxed CaTe2CN crystal.

Geometry as extended XYZ:
```
5
Lattice="6.3817 0.0000 0.0000 0.0000 6.3817 0.0000 0.0000 0.0000 2.6848" Properties=species:S:1:pos:R:3 pbc="T T T"
Ca 0.0000 0.0000 0.0000
Te 0.0000 3.1908 1.3424
Te 3.1908 0.0000 1.3424
C 3.1908 3.1908 1.3424
N 3.1908 3.1908 0.0000
```

Properties
Total magnetic moment, μB per atom: 0.00
Energy above the most stable polymorph in this dataset, meV per atom: 0.0
ΔE_f (raw), eV/f.u.: 2.95

---

VASP calculation (GGA-PBE) on a relaxed CaTe2CN crystal.

Geometry as extended XYZ:
```
5
Lattice="5.8417 0.0000 0.0000 0.0000 5.8417 0.0000 0.0000 0.0000 4.0926" Properties=species:S:1:pos:R:3 pbc="T T T"
Ca 0.0000 0.0000 0.0000
Te 0.0000 2.9208 0.0000
Te 2.9208 0.0000 0.0000
C 2.9208 2.9208 2.0463
N 0.0000 0.0000 2.0463
```

Properties
Total magnetic moment, μB per atom: 0.00
Energy above the most stable polymorph in this dataset, meV per atom: 1586.2
ΔE_f (raw), eV/f.u.: 10.88

---

VASP calculation (GGA-PBE) on a relaxed CaTi2CN crystal.

Geometry as extended XYZ:
```
5
Lattice="3.9434 0.0000 0.0000 0.0000 3.9434 0.0000 0.0000 0.0000 5.2876" Properties=species:S:1:pos:R:3 pbc="T T T"
Ca 0.0000 0.0000 0.0000
Ti 0.0000 1.9717 2.6438
Ti 1.9717 0.0000 2.6438
C 1.9717 1.9717 0.0000
N 1.9717 1.9717 2.6438
```

Properties
Total magnetic moment, μB per atom: 0.00
ΔE_f (raw), eV/f.u.: 2.18

---

VASP calculation (GGA-PBE) on a relaxed Ca3TiC2N6 crystal.

Geometry as extended XYZ:
```
12
Lattice="5.2433 0.0000 0.0000 -2.6216 4.5408 0.0000 0.0000 0.0000 6.1069" Properties=species:S:1:pos:R:3 pbc="T T T"
Ca 0.0000 0.0000 0.0000
Ca 0.0000 3.0272 4.2151
Ca 2.6216 1.5136 1.8919
Ti 0.0000 0.0000 3.0535
C 0.0000 3.0272 1.7216
C 2.6216 1.5136 4.3854
N 0.0000 1.6607 1.7674
N -1.1834 3.7104 1.7674
N 1.4382 0.8304 4.3395
N 1.1834 3.7104 1.7674
N 3.8050 0.8304 4.3395
N 2.6216 2.8801 4.3395
```

Properties
Total magnetic moment, μB per atom: 0.00
ΔE_f (raw), eV/f.u.: -9.33

---

VASP calculation (GGA-PBE) on a relaxed Ca2ZrCN crystal.

Geometry as extended XYZ:
```
5
Lattice="4.3499 0.0000 0.0000 0.0000 4.3499 0.0000 0.0000 0.0000 5.4803" Properties=species:S:1:pos:R:3 pbc="T T T"
Ca 0.0000 2.1749 0.0000
Ca 2.1749 0.0000 0.0000
Zr 0.0000 0.0000 2.7402
C 2.1749 2.1749 2.7402
N 2.1749 2.1749 0.0000
```

Properties
Total magnetic moment, μB per atom: 0.00
ΔE_f (raw), eV/f.u.: 5.99